Record 1
VASP calculation (PBE-GGA) on a geometry-optimized TmThAgGe structure.

Summary:
Energy of formation = -1.50 eV/f.u.
Space group = No. 216
Total moment = 0.00 μB per cell

The structure in POSCAR format:
```
TmThAgGe
1.0
5.144 0.000 0.000
2.572 4.455 0.000
2.572 1.485 4.200
Tm Ge Ag Th
1 1 1 1
direct
0.500 0.500 0.500
0.250 0.250 0.250
0.750 0.750 0.750
0.000 0.000 0.000
```

---

Record 2
VASP calculation (PBE-GGA) on a geometry-optimized YThAgGe structure.

Summary:
Energy of formation = -1.59 eV/f.u.
Space group = No. 216
Total moment = 0.00 μB per cell

The structure in POSCAR format:
```
YThAgGe
1.0
-2.226 -3.561 -3.030
2.538 -4.362 -1.163
-1.548 -4.512 2.016
Th Y Ge Ag
1 1 1 1
direct
0.750 0.750 0.750
0.250 0.250 0.250
0.500 0.500 0.500
0.000 0.000 0.000
```

---

Record 3
VASP calculation (PBE-GGA) on a geometry-optimized TiAg3Ge structure.

Summary:
Energy of formation = 5.78 eV/f.u.
Space group = No. 221
Total moment = 1.90 μB per cell

The structure in POSCAR format:
```
TiAg3Ge
1.0
-4.863 -0.247 1.212
1.168 -2.535 4.170
0.407 4.323 2.515
Ti Ag Ge
1 3 1
direct
0.000 0.000 0.000
0.500 0.000 0.000
0.000 0.500 0.000
0.000 0.000 0.500
0.500 0.500 0.500
```

---

Record 4
VASP calculation (PBE-GGA) on a geometry-optimized TiAgGe2 structure.

Summary:
Energy of formation = 1.76 eV/f.u.
Space group = No. 166
Total moment = 0.00 μB per cell

The structure in POSCAR format:
```
TiAgGe2
1.0
4.202 0.000 0.000
2.101 3.639 0.000
2.101 1.213 6.869
Ge Ag Ti
2 1 1
direct
0.878 0.878 0.366
0.122 0.122 0.634
0.000 0.000 0.000
0.500 0.500 0.500
```

---

Record 5
VASP calculation (PBE-GGA) on a geometry-optimized TiAgGe2 structure.

Summary:
Energy of formation = 0.63 eV/f.u.
Space group = No. 122
Total moment = 0.00 μB per cell

The structure in POSCAR format:
```
TiAgGe2
1.0
-4.259 -5.080 -2.481
4.731 -4.902 1.917
-1.055 -5.202 2.366
Ge Ag Ti
4 2 2
direct
0.119 0.625 0.250
0.631 0.125 0.250
0.875 0.881 0.750
0.375 0.369 0.750
0.750 0.250 0.500
0.000 0.000 0.000
0.500 0.500 0.000
0.250 0.750 0.500
```

---

Record 6
VASP calculation (PBE-GGA) on a geometry-optimized TiAg2Ge2 structure.

Summary:
Energy of formation = 0.63 eV/f.u.
Space group = No. 127
Total moment = 0.00 μB per cell

The structure in POSCAR format:
```
TiAg2Ge2
1.0
-3.828 6.339 -1.084
-0.934 -1.796 -7.205
-2.741 -1.529 0.736
Ag Ge Ti
4 4 2
direct
0.862 0.362 0.500
0.638 0.862 0.500
0.138 0.638 0.500
0.362 0.138 0.500
0.335 0.835 0.000
0.665 0.165 0.000
0.165 0.335 0.000
0.835 0.665 0.000
0.000 0.000 0.000
0.500 0.500 0.000
```

---

Record 7
VASP calculation (PBE-GGA) on a geometry-optimized TiAgGe2 structure.

Summary:
Energy of formation = -0.44 eV/f.u.
Space group = No. 123
Total moment = 0.00 μB per cell

The structure in POSCAR format:
```
TiAgGe2
1.0
3.737 0.000 0.000
0.000 4.238 0.000
0.000 0.000 4.238
Ge Ti Ag
2 1 1
direct
0.000 0.500 0.000
0.000 0.000 0.500
0.500 0.500 0.500
0.500 0.000 0.000
```

---

Record 8
VASP calculation (PBE-GGA) on a geometry-optimized Ti3AgGe structure.

Summary:
Energy of formation = 2.34 eV/f.u.
Space group = No. 221
Total moment = 0.00 μB per cell

The structure in POSCAR format:
```
Ti3AgGe
1.0
4.709 0.000 0.000
0.000 4.709 0.000
0.000 0.000 4.709
Ti Ge Ag
3 1 1
direct
0.000 0.500 0.000
0.000 0.000 0.500
0.500 0.000 0.000
0.000 0.000 0.000
0.500 0.500 0.500
```

---

Record 9
VASP calculation (PBE-GGA) on a geometry-optimized TiAgGe2 structure.

Summary:
Energy of formation = 0.37 eV/f.u.
Space group = No. 225
Total moment = 0.93 μB per cell

The structure in POSCAR format:
```
TiAgGe2
1.0
0.000 3.271 3.271
3.271 0.000 3.271
3.271 3.271 0.000
Ge Ag Ti
2 1 1
direct
0.250 0.250 0.250
0.750 0.750 0.750
0.500 0.500 0.500
0.000 0.000 0.000
```

---

Record 10
VASP calculation (PBE-GGA) on a geometry-optimized Ti3AgGe structure.

Summary:
Energy of formation = 4.90 eV/f.u.
Space group = No. 221
Total moment = 0.00 μB per cell

The structure in POSCAR format:
```
Ti3AgGe
1.0
4.816 0.000 0.000
0.000 4.816 0.000
0.000 0.000 4.816
Ge Ti Ag
1 3 1
direct
0.500 0.500 0.500
0.000 0.500 0.000
0.000 0.000 0.500
0.500 0.000 0.000
0.000 0.000 0.000
```

---

Record 11
VASP calculation (PBE-GGA) on a geometry-optimized TiAg3Ge structure.

Summary:
Energy of formation = 3.73 eV/f.u.
Space group = No. 221
Total moment = 0.00 μB per cell

The structure in POSCAR format:
```
TiAg3Ge
1.0
4.784 0.000 0.000
0.000 4.784 0.000
0.000 0.000 4.784
Ag Ge Ti
3 1 1
direct
0.000 0.000 0.500
0.000 0.500 0.000
0.500 0.000 0.000
0.000 0.000 0.000
0.500 0.500 0.500
```

---

Record 12
VASP calculation (PBE-GGA) on a geometry-optimized YTi2AgGe structure.

Summary:
Energy of formation = 7.47 eV/f.u.
Space group = No. 123
Total moment = 0.00 μB per cell

The structure in POSCAR format:
```
YTi2AgGe
1.0
-3.919 1.361 2.617
-3.007 -3.228 -2.825
0.879 -3.615 3.196
Ge Y Ti Ag
1 1 2 1
direct
0.500 0.500 0.500
0.000 0.000 0.000
0.000 0.000 0.500
0.500 0.000 0.000
0.000 0.500 0.000
```

---

Record 13
VASP calculation (PBE-GGA) on a geometry-optimized TlAg2Ge2 structure.

Summary:
Energy of formation = 1.01 eV/f.u.
Space group = No. 139
Total moment = 0.00 μB per cell

The structure in POSCAR format:
```
TlAg2Ge2
1.0
-2.936 2.677 -0.700
-0.813 0.141 3.949
2.494 6.387 2.346
Ge Ag Tl
2 2 1
direct
0.250 0.750 0.500
0.750 0.250 0.500
0.605 0.605 0.790
0.395 0.395 0.210
0.000 0.000 0.000
```

---

Record 14
VASP calculation (PBE-GGA) on a geometry-optimized Tl2AgGe structure.

Summary:
Energy of formation = 1.28 eV/f.u.
Space group = No. 122
Total moment = 0.00 μB per cell

The structure in POSCAR format:
```
Tl2AgGe
1.0
4.394 0.000 0.000
0.000 4.394 0.000
2.197 2.197 10.572
Tl Ag Ge
4 2 2
direct
0.875 0.877 0.750
0.123 0.625 0.250
0.375 0.373 0.750
0.627 0.125 0.250
0.000 0.000 0.000
0.750 0.250 0.500
0.500 0.500 0.000
0.250 0.750 0.500
```

---

Record 15
VASP calculation (PBE-GGA) on a geometry-optimized TlAgGe2 structure.

Summary:
Energy of formation = 1.40 eV/f.u.
Space group = No. 225
Total moment = 0.00 μB per cell

The structure in POSCAR format:
```
TlAgGe2
1.0
2.485 -4.066 1.431
-2.027 -3.121 3.303
-1.546 -4.501 -1.454
Ag Tl Ge
1 1 2
direct
0.000 0.000 0.000
0.500 0.500 0.500
0.250 0.250 0.250
0.750 0.750 0.750
```

---

Record 16
VASP calculation (PBE-GGA) on a geometry-optimized TlAg2Ge structure.

Summary:
Energy of formation = 0.89 eV/f.u.
Space group = No. 123
Total moment = 0.00 μB per cell

The structure in POSCAR format:
```
TlAg2Ge
1.0
-2.644 -2.862 1.668
3.431 -2.104 1.828
-0.406 2.491 3.629
Tl Ag Ge
1 2 1
direct
0.500 0.000 0.000
0.000 0.500 0.000
0.000 0.000 0.500
0.500 0.500 0.500
```

---

Record 17
VASP calculation (PBE-GGA) on a geometry-optimized TlAg2Ge structure.

Summary:
Energy of formation = 0.68 eV/f.u.
Space group = No. 123
Total moment = 0.00 μB per cell

The structure in POSCAR format:
```
TlAg2Ge
1.0
-0.299 -2.778 -1.901
-0.555 -1.841 2.779
-7.253 1.219 -0.642
Ag Ge Tl
2 1 1
direct
0.000 0.000 0.789
0.000 0.000 0.211
0.500 0.500 0.000
0.500 0.500 0.500
```

---

Record 18
VASP calculation (PBE-GGA) on a geometry-optimized TlAg2Ge structure.

Summary:
Energy of formation = 0.96 eV/f.u.
Space group = No. 166
Total moment = 0.00 μB per cell

The structure in POSCAR format:
```
TlAg2Ge
1.0
-0.672 2.980 0.742
-2.878 0.757 1.013
1.762 -0.497 10.248
Tl Ag Ge
1 2 1
direct
0.000 0.000 0.000
0.905 0.905 0.286
0.095 0.095 0.714
0.500 0.500 0.500
```

---

Record 19
VASP calculation (PBE-GGA) on a geometry-optimized TlAg2Ge2 structure.

Summary:
Energy of formation = 0.90 eV/f.u.
Space group = No. 139
Total moment = 0.00 μB per cell

The structure in POSCAR format:
```
TlAg2Ge2
1.0
4.464 0.000 0.000
0.000 4.464 0.000
2.232 2.232 5.576
Ge Ag Tl
2 2 1
direct
0.616 0.616 0.767
0.384 0.384 0.233
0.750 0.250 0.500
0.250 0.750 0.500
0.000 0.000 0.000
```

---

Record 20
VASP calculation (PBE-GGA) on a geometry-optimized TlAg2Ge2 structure.

Summary:
Energy of formation = 1.05 eV/f.u.
Space group = No. 127
Total moment = 0.00 μB per cell

The structure in POSCAR format:
```
TlAg2Ge2
1.0
-7.053 0.445 -4.725
-1.073 -8.394 0.812
-1.591 0.437 2.417
Ag Ge Tl
4 4 2
direct
0.667 0.833 0.500
0.333 0.167 0.500
0.167 0.667 0.500
0.833 0.333 0.500
0.874 0.626 0.000
0.374 0.874 0.000
0.626 0.126 0.000
0.126 0.374 0.000
0.000 0.000 0.000
0.500 0.500 0.000
```

---

Record 21
VASP calculation (PBE-GGA) on a geometry-optimized Tl2AgGe structure.

Summary:
Energy of formation = 1.15 eV/f.u.
Space group = No. 166
Total moment = 0.00 μB per cell

The structure in POSCAR format:
```
Tl2AgGe
1.0
-0.366 1.000 -3.064
-2.369 -1.238 -1.838
-7.800 7.975 1.819
Tl Ge Ag
2 1 1
direct
0.087 0.087 0.739
0.913 0.913 0.261
0.500 0.500 0.500
0.000 0.000 0.000
```

---

Record 22
VASP calculation (PBE-GGA) on a geometry-optimized TlAg2Ge structure.

Summary:
Energy of formation = 1.16 eV/f.u.
Space group = No. 122
Total moment = 0.00 μB per cell

The structure in POSCAR format:
```
TlAg2Ge
1.0
-3.307 2.850 -0.173
-2.743 -3.245 -1.017
-4.723 -1.616 8.513
Tl Ge Ag
2 2 4
direct
0.750 0.250 0.500
0.000 0.000 0.000
0.250 0.750 0.500
0.500 0.500 0.000
0.875 0.840 0.750
0.375 0.410 0.750
0.160 0.625 0.250
0.590 0.125 0.250
```

---

Record 23
VASP calculation (PBE-GGA) on a geometry-optimized Tl2AgGe structure.

Summary:
Energy of formation = 0.99 eV/f.u.
Space group = No. 225
Total moment = 0.00 μB per cell

The structure in POSCAR format:
```
Tl2AgGe
1.0
-1.407 -3.256 3.751
-4.749 -2.024 0.014
-0.673 -5.010 -1.048
Ge Ag Tl
1 1 2
direct
0.000 0.000 0.000
0.500 0.500 0.500
0.750 0.750 0.750
0.250 0.250 0.250
```

---

Record 24
VASP calculation (PBE-GGA) on a geometry-optimized TlAg2Ge2 structure.

Summary:
Energy of formation = 0.98 eV/f.u.
Space group = No. 127
Total moment = 0.00 μB per cell

The structure in POSCAR format:
```
TlAg2Ge2
1.0
8.382 0.000 0.000
0.000 8.382 0.000
0.000 0.000 3.016
Ag Ge Tl
4 4 2
direct
0.842 0.658 0.000
0.158 0.342 0.000
0.658 0.158 0.000
0.342 0.842 0.000
0.135 0.635 0.500
0.635 0.865 0.500
0.865 0.365 0.500
0.365 0.135 0.500
0.500 0.500 0.000
0.000 0.000 0.000
```

---

Record 25
VASP calculation (PBE-GGA) on a geometry-optimized TlAgGe2 structure.

Summary:
Energy of formation = 1.13 eV/f.u.
Space group = No. 122
Total moment = 0.00 μB per cell

The structure in POSCAR format:
```
TlAgGe2
1.0
4.205 0.000 0.000
0.000 4.205 0.000
2.103 2.103 10.321
Tl Ag Ge
2 2 4
direct
0.000 0.000 0.000
0.750 0.250 0.500
0.500 0.500 0.000
0.250 0.750 0.500
0.182 0.625 0.250
0.875 0.818 0.750
0.375 0.432 0.750
0.568 0.125 0.250
```

---

Record 26
VASP calculation (PBE-GGA) on a geometry-optimized TlAgGe2W structure.

Summary:
Energy of formation = 3.37 eV/f.u.
Space group = No. 123
Total moment = 0.00 μB per cell

The structure in POSCAR format:
```
TlAgGe2W
1.0
-2.794 0.409 4.006
-4.460 -0.560 -3.054
0.183 -4.858 0.624
Ag Tl W Ge
1 1 1 2
direct
0.500 0.500 0.500
0.000 0.500 0.000
0.000 0.000 0.000
0.500 0.000 0.000
0.000 0.000 0.500
```

---

Record 27
VASP calculation (PBE-GGA) on a geometry-optimized Tl2AgGeW structure.

Summary:
Energy of formation = 6.36 eV/f.u.
Space group = No. 123
Total moment = 3.03 μB per cell

The structure in POSCAR format:
```
Tl2AgGeW
1.0
-3.248 -2.030 -3.850
0.414 -4.475 2.010
-4.328 1.002 3.123
W Tl Ag Ge
1 2 1 1
direct
0.000 0.500 0.000
0.000 0.000 0.500
0.500 0.000 0.000
0.500 0.500 0.500
0.000 0.000 0.000
```

---

Record 28
VASP calculation (PBE-GGA) on a geometry-optimized TlZnAgGe2 structure.

Summary:
Energy of formation = 4.97 eV/f.u.
Space group = No. 123
Total moment = 0.00 μB per cell

The structure in POSCAR format:
```
TlZnAgGe2
1.0
5.379 0.000 0.000
0.000 5.306 0.000
0.000 0.000 5.379
Tl Zn Ag Ge
1 1 1 2
direct
0.000 0.000 0.000
0.500 0.500 0.500
0.000 0.500 0.000
0.000 0.000 0.500
0.500 0.000 0.000
```